<A>
14
Lattice="3.2958 -7.4621 0.0000 3.2958 7.4621 0.0000 0.0000 0.0000 6.8301" Properties=species:S:1:pos:R:3 comment="Dy4Ge2C (PBE, optimized geometry)" total_magnetization_mub_per_cell=0.0 crystal_system=orthorhombic mass_density_g_cm3=8.0 sg="Cmce (64)" n_ef_per_ev_fu=0.78 pbc="T T T"
Dy 3.2958 4.9399 6.4886
Dy 1.6479 0.2026 5.1225
Dy 1.6479 -0.2026 1.7075
Dy 3.2958 2.5222 3.0736
Dy 3.2958 -2.5222 3.7565
Dy 4.9436 0.2026 5.1225
Dy 4.9436 -0.2026 1.7075
Dy 3.2958 -4.9399 0.3414
Ge 3.2958 5.4373 3.5623
Ge 3.2958 2.0248 0.1473
Ge 3.2958 -2.0248 6.6828
Ge 3.2958 -5.4373 3.2677
C 0.0000 0.0000 0.0000
C 3.2958 0.0000 3.4150

---

<B>
7
Lattice="5.7152 -1.9903 0.0000 5.7152 1.9903 0.0000 -4.5771 0.0000 6.8382" Properties=species:S:1:pos:R:3 comment="Dy4Ge2C (PBE, optimized geometry)" total_magnetization_mub_per_cell=0.5 crystal_system=monoclinic mass_density_g_cm3=8.6 sg="C2/m (12)" n_ef_per_ev_fu=5.98 pbc="T T T"
Dy -0.6652 0.0000 2.3527
Dy -0.3675 0.0000 6.3342
Dy 7.2209 0.0000 0.5040
Dy 7.5186 0.0000 4.4855
Ge 2.7241 0.0000 2.3458
Ge 4.1292 0.0000 4.4923
C 0.0000 0.0000 0.0000

---

<C>
7
Lattice="-2.3477 2.3477 7.6020 2.3477 -2.3477 7.6020 2.3477 2.3477 -7.6020" Properties=species:S:1:pos:R:3 comment="Dy4Ge2C (PBE, optimized geometry)" total_magnetization_mub_per_cell=0.0 crystal_system=tetragonal mass_density_g_cm3=8.0 sg="I4/mmm (139)" n_ef_per_ev_fu=0.92 pbc="T T T"
Dy 2.3477 0.0000 0.0000
Dy 0.0000 0.0000 2.5508
Dy 0.0000 2.3477 0.0000
Dy 0.0000 0.0000 12.6532
Ge 0.0000 0.0000 5.5212
Ge 0.0000 0.0000 9.6829
C 0.0000 0.0000 0.0000

---

Of them, <B> has the lowest stability.

---

<A>
12
Lattice="3.5482 0.0000 0.0000 -1.7741 3.0728 0.0000 0.0000 0.0000 24.3839" Properties=species:S:1:pos:R:3 comment="DyHoC (PBE, optimized geometry)" total_magnetization_mub_per_cell=0.0 crystal_system=trigonal mass_density_g_cm3=8.5 sg="P-3m1 (164)" n_ef_per_ev_fu=1.54 pbc="T T T"
Dy 0.0000 2.0485 7.7033
Dy 0.0000 2.0485 10.5576
Dy 1.7741 1.0243 13.8263
Dy 1.7741 1.0243 16.6806
Ho 0.0000 2.0485 19.9284
Ho 0.0000 2.0485 22.7688
Ho 1.7741 1.0243 1.6150
Ho 1.7741 1.0243 4.4555
C 0.0000 2.0485 3.0364
C 0.0000 2.0485 15.2525
C 1.7741 1.0243 9.1314
C 1.7741 1.0243 21.3475

---

<B>
3
Lattice="3.5619 0.0000 0.0000 -1.7810 3.0847 0.0000 0.0000 0.0000 6.2386" Properties=species:S:1:pos:R:3 comment="DyHoC (PBE, optimized geometry)" total_magnetization_mub_per_cell=0.0 crystal_system=trigonal mass_density_g_cm3=8.2 sg="P3m1 (156)" n_ef_per_ev_fu=2.16 pbc="T T T"
Dy 0.0000 0.0000 0.0000
Ho 0.0000 2.0565 2.7002
C 1.7810 1.0282 1.3597

---

Of them, <A> has the lowest stability.

---

<A>
12
Lattice="9.5160 -2.0095 0.0000 9.5160 2.0095 0.0000 -3.6442 0.0000 10.9186" Properties=species:S:1:pos:R:3 comment="Dy2CI3 (PBE, optimized geometry)" total_magnetization_mub_per_cell=0.3 crystal_system=monoclinic mass_density_g_cm3=5.7 sg="C2/m (12)" n_ef_per_ev_fu=2.52 pbc="T T T"
Dy 0.5156 0.0000 2.0647
Dy 7.2532 0.0000 0.6115
Dy 8.1345 0.0000 10.3071
Dy 14.8722 0.0000 8.8540
C 5.7708 0.0000 10.2448
C 9.6170 0.0000 0.6738
I -1.1632 0.0000 7.9672
I 3.5668 0.0000 1.3842
I 4.8061 0.0000 6.6117
I 10.5817 0.0000 4.3069
I 11.8210 0.0000 9.5344
I 16.5510 0.0000 2.9514

---

<B>
48
Lattice="8.4786 0.0000 0.0000 0.0000 14.0168 0.0000 -8.3818 0.0000 14.5727" Properties=species:S:1:pos:R:3 comment="Dy2CI3 (PBE, optimized geometry)" total_magnetization_mub_per_cell=0.0 crystal_system=monoclinic mass_density_g_cm3=5.5 sg="P2_1/c (14)" n_ef_per_ev_fu=0.23 pbc="T T T"
Dy -0.0034 1.4727 1.7613
Dy -4.1943 5.5357 9.0476
Dy -5.9437 1.2356 13.5402
Dy -1.7528 5.7728 6.2538
Dy 0.0471 8.8935 5.0377
Dy -4.1437 12.1316 12.3241
Dy -1.7672 8.3302 8.3959
Dy 2.4237 12.6950 1.1095
Dy -2.3269 1.3218 13.4632
Dy 1.8640 5.6866 6.1768
Dy 4.2405 1.8851 2.2487
Dy 0.0496 5.1233 9.5350
Dy 1.8496 8.2440 8.3189
Dy 6.0405 12.7812 1.0325
Dy 4.2911 8.4810 5.5251
Dy 0.1002 12.5441 12.8114
C -3.5573 7.2538 7.4912
C 0.6336 13.7714 0.2048
C 0.0486 7.4625 6.7446
C -4.1423 13.5626 14.0309
C 4.2391 0.4542 0.5418
C 0.0482 6.5542 7.8282
C -0.5368 0.2454 14.3679
C 3.6541 6.7630 7.0816
I -2.0542 0.2858 3.7352
I -6.2451 6.7226 11.0216
I -4.1886 10.0691 9.8242
I 0.0023 10.9561 2.5378
I -6.2944 10.3565 13.5949
I -2.1035 10.6686 6.3085
I -2.1451 3.3806 8.2383
I 2.0458 3.6278 0.9520
I -4.2134 3.2442 11.9074
I -0.0225 3.7642 4.6210
I 2.1991 7.3333 3.5063
I -1.9917 13.6918 10.7926
I 2.0885 0.3249 3.7801
I -2.1024 6.6834 11.0665
I 0.1193 10.2526 9.9517
I 4.3102 10.7726 2.6654
I -1.9490 10.3890 13.6208
I 2.2419 10.6362 6.3344
I 2.2003 3.3482 8.2642
I 6.3912 3.6602 0.9778
I 0.0945 3.0607 12.0349
I 4.2853 3.9477 4.7485
I 6.3419 7.2942 3.5512
I 2.1510 13.7310 10.8375

---

Of them, <A> has the lowest stability.

---

<A>
6
Lattice="-1.8501 1.8501 7.1972 1.8501 -1.8501 7.1972 1.8501 1.8501 -7.1972" Properties=species:S:1:pos:R:3 comment="DyIrC (PBE, optimized geometry)" total_magnetization_mub_per_cell=0.0 crystal_system=tetragonal mass_density_g_cm3=12.4 sg="I4/mmm (139)" n_ef_per_ev_fu=1.40 pbc="T T T"
Dy 0.0000 0.0000 1.5968
Dy 0.0000 0.0000 12.7977
Ir 0.0000 0.0000 4.4954
Ir 0.0000 0.0000 9.8990
C 0.0000 0.0000 6.5332
C 0.0000 0.0000 7.8613

---

<B>
3
Lattice="3.3732 0.0000 0.0000 -1.6866 2.9213 0.0000 0.0000 0.0000 4.8298" Properties=species:S:1:pos:R:3 comment="DyIrC (PBE, optimized geometry)" total_magnetization_mub_per_cell=0.0 crystal_system=trigonal mass_density_g_cm3=12.8 sg="P3m1 (156)" n_ef_per_ev_fu=1.38 pbc="T T T"
Dy 0.0000 0.0000 0.0000
Ir 1.6866 0.9738 2.2706
C 0.0000 1.9475 1.5451

---

Of them, <A> has the lowest stability.